La5Ag3: relaxed, PBE.

Unit cell a=3.8271 b=3.8271 c=16.5328 alpha=90.00 beta=90.00 gamma=90.00
Positions (direct):
La  0.0000  0.0000  0.0000
La  0.0000  0.0000  0.2294
La  0.0000  0.0000  0.7706
La  0.5000  0.5000  0.3856
La  0.5000  0.5000  0.6144
Ag  0.0000  0.0000  0.5000
Ag  0.5000  0.5000  0.1176
Ag  0.5000  0.5000  0.8824

Properties
Crystal system ... tetragonal
Symmetry ... P4/mmm
E_form ... -4.168 kcal/mol of atoms
Size of the total moment ... 0.733 μB per formula unit
D(E_F) ... 1.1658 states/eV/atom
Energy above the most stable polymorph in this dataset ... 0 meV/atom